[1]
{"formula": "Tl12Au5I3", "functional": "GGA-PBE", "state": "optimized geometry", "cell": [[-13.550, -1.531, 8.293], [12.420, -0.173, 10.022], [-0.189, 13.810, -7.999]], "species": ["I", "I", "I", "I", "I", "I", "I", "I", "I", "I", "I", "I", "Au", "Au", "Au", "Au", "Au", "Au", "Au", "Au", "Au", "Au", "Au", "Au", "Au", "Au", "Au", "Au", "Au", "Au", "Au", "Au", "Tl", "Tl", "Tl", "Tl", "Tl", "Tl", "Tl", "Tl", "Tl", "Tl", "Tl", "Tl", "Tl", "Tl", "Tl", "Tl", "Tl", "Tl", "Tl", "Tl", "Tl", "Tl", "Tl", "Tl", "Tl", "Tl", "Tl", "Tl", "Tl", "Tl", "Tl", "Tl", "Tl", "Tl", "Tl", "Tl", "Tl", "Tl", "Tl", "Tl", "Tl", "Tl", "Tl", "Tl", "Tl", "Tl", "Tl", "Tl"], "fractional_positions": [[0.750, 0.375, 0.125], [0.875, 0.750, 0.125], [0.375, 0.750, 0.625], [0.250, 0.125, 0.375], [0.875, 0.125, 0.250], [0.375, 0.625, 0.250], [0.625, 0.375, 0.750], [0.125, 0.875, 0.750], [0.750, 0.875, 0.625], [0.625, 0.250, 0.375], [0.125, 0.250, 0.875], [0.250, 0.625, 0.875], [0.125, 0.375, 0.250], [0.000, 0.500, 0.000], [0.000, 0.000, 0.000], [0.375, 0.250, 0.125], [0.500, 0.000, 0.500], [0.500, 0.500, 0.000], [0.125, 0.750, 0.375], [0.750, 0.125, 0.875], [0.750, 0.625, 0.375], [0.375, 0.125, 0.750], [0.625, 0.875, 0.250], [0.500, 0.500, 0.500], [0.500, 0.000, 0.000], [0.000, 0.000, 0.500], [0.250, 0.375, 0.625], [0.250, 0.875, 0.125], [0.000, 0.500, 0.500], [0.875, 0.250, 0.625], [0.625, 0.750, 0.875], [0.875, 0.625, 0.750], [0.705, 0.124, 0.033], [0.328, 0.533, 0.410], [0.967, 0.376, 0.295], [0.533, 0.205, 0.124], [0.581, 0.705, 0.672], [0.967, 0.590, 0.172], [0.328, 0.795, 0.419], [0.090, 0.919, 0.124], [0.590, 0.967, 0.672], [0.705, 0.581, 0.172], [0.795, 0.467, 0.376], [0.828, 0.910, 0.033], [0.124, 0.705, 0.533], [0.376, 0.410, 0.081], [0.081, 0.910, 0.376], [0.419, 0.124, 0.590], [0.081, 0.172, 0.205], [0.467, 0.672, 0.090], [0.828, 0.919, 0.295], [0.124, 0.419, 0.090], [0.376, 0.967, 0.795], [0.590, 0.624, 0.419], [0.910, 0.828, 0.533], [0.795, 0.328, 0.919], [0.410, 0.376, 0.581], [0.090, 0.172, 0.467], [0.205, 0.672, 0.081], [0.172, 0.081, 0.705], [0.624, 0.033, 0.205], [0.876, 0.581, 0.910], [0.533, 0.328, 0.910], [0.581, 0.876, 0.410], [0.919, 0.828, 0.795], [0.919, 0.090, 0.624], [0.876, 0.295, 0.467], [0.172, 0.090, 0.967], [0.624, 0.590, 0.919], [0.410, 0.033, 0.328], [0.295, 0.419, 0.828], [0.205, 0.533, 0.624], [0.910, 0.081, 0.876], [0.672, 0.205, 0.581], [0.467, 0.795, 0.876], [0.033, 0.410, 0.828], [0.419, 0.295, 0.328], [0.033, 0.624, 0.705], [0.672, 0.467, 0.590], [0.295, 0.876, 0.967]], "rho_g_cm3": 8.1, "formation_energy_uncorrected_mev_per_atom": -35}


[2]
{"formula": "KAc3Hg4", "functional": "GGA-PBE", "state": "optimized geometry", "cell": [[5.470, 0.000, 1.615], [2.496, 4.867, 1.615], [0.038, 0.023, 9.944]], "species": ["K", "Ac", "Ac", "Ac", "Hg", "Hg", "Hg", "Hg"], "fractional_positions": [[0.000, 0.000, 0.000], [0.253, 0.253, 0.242], [0.747, 0.747, 0.758], [0.500, 0.500, 0.500], [0.873, 0.873, 0.380], [0.377, 0.377, 0.869], [0.127, 0.127, 0.620], [0.623, 0.623, 0.131]], "rho_g_cm3": 9.6, "ef_mev_per_atom": -395.3}


[3]
{"formula": "HoEr3Th4", "functional": "GGA-PBE", "state": "optimized geometry", "cell": [[0.306, -1.341, -3.098], [1.815, -10.187, 4.590], [-7.549, 4.558, -0.864]], "species": ["Ho", "Th", "Th", "Th", "Th", "Er", "Er", "Er"], "fractional_positions": [[0.500, 0.000, 0.000], [0.371, 0.617, 0.742], [0.629, 0.383, 0.258], [0.629, 0.876, 0.258], [0.371, 0.124, 0.742], [0.000, 0.500, 0.000], [0.234, 0.234, 0.469], [0.766, 0.766, 0.531]], "rho_g_cm3": 10.5, "ef_mev_per_atom": 138.2}


[4]
{"formula": "Te2POs", "functional": "GGA-PBE", "state": "optimized geometry", "cell": [[3.021, 0.000, 0.000], [0.000, 3.021, 0.000], [0.000, 0.000, 10.023]], "species": ["Te", "Te", "P", "Os"], "fractional_positions": [[0.000, 0.000, 0.975], [0.500, 0.500, 0.326], [0.500, 0.500, 0.661], [0.000, 0.000, 0.539]], "rho_g_cm3": 8.6, "formation_energy_uncorrected_mev_per_atom": 271, "de_polymorph_mev_per_atom": 174}


[5]
{"formula": "SiAgAu3", "functional": "GGA-PBE", "state": "optimized geometry", "cell": [[2.890, 0.000, -0.001], [0.001, 8.281, -0.347], [0.002, 2.556, 7.885]], "species": ["Si", "Si", "Ag", "Ag", "Au", "Au", "Au", "Au", "Au", "Au"], "fractional_positions": [[0.363, 0.758, 0.213], [0.363, 0.227, 0.682], [0.363, 0.667, 0.773], [0.864, 0.176, 0.265], [0.863, 0.351, 0.875], [0.863, 0.982, 0.674], [0.863, 0.565, 0.090], [0.364, 0.036, 0.028], [0.863, 0.766, 0.458], [0.364, 0.412, 0.405]], "rho_g_cm3": 12.6, "formation_energy_uncorrected_mev_per_atom": 52, "de_polymorph_mev_per_atom": 19}


[6]
{"formula": "TaSb2Mo", "functional": "GGA-PBE", "state": "optimized geometry", "cell": [[9.033, -0.006, -0.003], [8.467, 3.149, -0.003], [8.467, 1.521, 2.758]], "species": ["Mo", "Sb", "Sb", "Ta"], "fractional_positions": [[0.750, 0.750, 0.750], [0.004, 0.004, 0.004], [0.496, 0.496, 0.496], [0.250, 0.250, 0.250]], "rho_g_cm3": 11.0, "formation_energy_uncorrected_mev_per_atom": 366}


[7]
{"formula": "KCr2Cl", "functional": "GGA-PBE", "state": "optimized geometry", "cell": [[-6.638, -1.030, 0.523], [0.054, -1.840, -2.943], [0.827, -4.043, 2.540]], "species": ["Cr", "Cr", "K", "Cl"], "fractional_positions": [[0.000, 0.992, 0.997], [0.000, 0.508, 0.503], [0.500, 0.250, 0.250], [0.500, 0.750, 0.750]], "rho_g_cm3": 2.6, "formation_energy_uncorrected_mev_per_atom": 460, "de_polymorph_mev_per_atom": 454}


Total magnetic moment / μB/cell: 0.00; 0.00; 0.00; 0.00; 0.00; 0.00; 9.77